Below is an optimized crystal structure of ZrMnSeBr2, with properties calculated at the GGA-PBE level.

The structure in extended XYZ format:
```
5
Lattice="5.3858 0.0000 0.0000 0.0000 5.3858 0.0000 0.0000 0.0000 5.2194" Properties=species:S:1:pos:R:3 pbc="T T T"
Zr 0.0000 0.0000 0.0000
Mn 2.6929 2.6929 2.6097
Se 0.0000 0.0000 2.6097
Br 0.0000 2.6929 0.0000
Br 2.6929 0.0000 0.0000
```

Summary:
Raw formation energy: -282 meV/atom
Size of the total moment: 5.74 μB/f.u.
Polymorph energy (0 for the lowest one): 0.0 kJ per mole of atoms

***

Below is an optimized crystal structure of Mn2SiBr, with properties calculated at the GGA-PBE level.

The structure in extended XYZ format:
```
4
Lattice="3.1853 0.0000 0.0000 0.0000 3.9204 0.0000 0.0000 0.0000 5.6417" Properties=species:S:1:pos:R:3 pbc="T T T"
Mn 0.0000 0.0000 0.0000
Mn 1.5926 0.0000 2.8208
Si 0.0000 1.9602 2.8208
Br 1.5926 1.9602 0.0000
```

Summary:
Raw formation energy: 490 meV/atom
Size of the total moment: 6.85 μB/f.u.
Polymorph energy (0 for the lowest one): 44.2 kJ per mole of atoms

***

Below is an optimized crystal structure of MnSiBr2, with properties calculated at the GGA-PBE level.

The structure in extended XYZ format:
```
4
Lattice="-1.7448 2.5434 6.6600 1.7448 -2.5434 6.6600 1.7448 2.5434 -6.6600" Properties=species:S:1:pos:R:3 pbc="T T T"
Mn 0.0000 0.0000 0.0000
Si 1.7448 0.0000 1.8482
Br 0.0000 0.0000 7.7094
Br 0.0000 2.5434 4.8385
```

Summary:
Raw formation energy: 51 meV/atom
Size of the total moment: 4.00 μB/f.u.
Polymorph energy (0 for the lowest one): 16.8 kJ per mole of atoms

***

Below is an optimized crystal structure of Mn2SiBr, with properties calculated at the GGA-PBE level.

The structure in extended XYZ format:
```
4
Lattice="1.6594 0.9581 7.7122 -1.6594 0.9581 7.7122 0.0000 -1.9161 7.7122" Properties=species:S:1:pos:R:3 pbc="T T T"
Mn 0.0000 0.0000 0.0000
Mn 0.0000 0.0000 5.8479
Si 0.0000 0.0000 12.3339
Br 0.0000 0.0000 17.1614
```

Summary:
Raw formation energy: 346 meV/atom
Size of the total moment: 5.45 μB/f.u.
Polymorph energy (0 for the lowest one): 30.3 kJ per mole of atoms